Record 1
## ZrAgF4 (PBE)

Data for a geometry-optimized ZrAgF4 structure.

Unit cell a=5.5566 b=4.6772 c=6.5556 alpha=90.00 beta=110.33 gamma=90.00
Closest atoms and distances in Å follow each position.
Fractional coordinates of all 12 atoms:
Zr (0.0000, 0.5000, 0.5000)  6 F 2.02-2.17
Ag (0.5000, 0.0000, 0.5000)  4 F 2.31-2.32
F (0.3798, 0.5848, 0.6294)  1 Zr 2.02
F (0.9528, 0.8757, 0.3023)  2 Zr 2.14-2.17
F (0.0472, 0.1243, 0.6977)  2 Zr 2.14-2.17
F (0.0472, 0.3757, 0.1977)  2 Zr 2.14-2.17
F (0.3798, 0.9152, 0.1294)  1 Zr 2.02
F (0.6202, 0.4152, 0.3706)  1 Zr 2.02
Ag (0.5000, 0.5000, 0.0000)  4 F 2.31-2.32
F (0.9528, 0.6243, 0.8023)  2 Zr 2.14-2.17
F (0.6202, 0.0848, 0.8706)  1 Zr 2.02
Zr (0.0000, 0.0000, 0.0000)  6 F 2.02-2.17

total DFT energy (no corrections): -5.5799 eV per atom

***

Record 2
## TmZr2Sb3 (PBE)

Data for a geometry-optimized TmZr2Sb3 structure.

Unit cell a=4.2033 b=4.2033 c=10.2530 alpha=90.00 beta=90.00 gamma=120.00
Closest atoms and distances in Å follow each position.
Fractional coordinates of all 6 atoms:
Zr (0.6667, 0.3333, 0.8465)  6 Sb 2.89-2.98
Sb (0.6667, 0.3333, 0.3223)  3 Zr 2.98, 3 Tm 3.03
Zr (0.3333, 0.6667, 0.1535)  6 Sb 2.89-2.98
Sb (0.0000, 0.0000, 0.0000)  6 Zr 2.89
Tm (0.0000, 0.0000, 0.5000)  6 Sb 3.03
Sb (0.3333, 0.6667, 0.6777)  3 Zr 2.98, 3 Tm 3.03

total DFT energy (no corrections): -6.3891 eV per atom